A plane-wave DFT calculation with PBE with a Hubbard U was carried out for a geometry-optimized Ba3Ti2VO8 structure.

Geometry as POSCAR:
```
Ba3Ti2VO8
1.0
-5.845 0.212 -0.630
3.010 -4.634 -2.018
-0.844 -3.453 6.670
Ba O Ti V
3 8 2 1
direct
0.667 0.333 0.348
0.333 0.667 0.652
0.000 0.000 0.000
0.167 0.833 0.319
0.666 0.833 0.319
0.667 0.333 0.016
0.833 0.167 0.681
0.833 0.666 0.681
0.334 0.167 0.681
0.167 0.334 0.319
0.333 0.667 0.984
0.667 0.333 0.779
0.333 0.667 0.221
0.000 0.000 0.500
```

Values from the calculation:
VASP energy in Ry/atom: -0.569